{
  "formula": "KMgBe",
  "functional": "PBE-GGA",
  "state": "optimized geometry",
  "final_energy_ev_per_atom": -1.734,
  "de_polymorph_ev_per_atom": 0.119,
  "m_tot_mub_per_fu": 0.000,
  "dos_ef_per_ev_cell": 2.143,
  "space_group": "No. 11",
  "lattice_angstrom": [[4.189, -0.008, -0.011], [0.011, 6.249, -0.063], [0.018, 0.410, 6.378]],
  "species": ["Be", "Be", "K", "K", "Mg", "Mg"],
  "fractional_positions": [[0.250, 0.991, 0.944], [0.750, 0.009, 0.056], [0.250, 0.484, 0.764], [0.750, 0.516, 0.236], [0.750, 0.990, 0.674], [0.250, 0.010, 0.326]]
}

{
  "formula": "KMgBe",
  "functional": "PBE-GGA",
  "state": "optimized geometry",
  "final_energy_ev_per_atom": -1.728,
  "de_polymorph_ev_per_atom": 0.125,
  "m_tot_mub_per_fu": 0.000,
  "dos_ef_per_ev_cell": 11.484,
  "space_group": "No. 139",
  "lattice_angstrom": [[15.527, 0.000, 0.000], [0.000, 6.751, 0.000], [0.000, 0.000, 6.749]],
  "species": ["Be", "Be", "Be", "Be", "Be", "Be", "Be", "Be", "K", "K", "K", "K", "K", "K", "K", "K", "Mg", "Mg", "Mg", "Mg", "Mg", "Mg", "Mg", "Mg"],
  "fractional_positions": [[0.934, 0.000, 0.000], [0.066, 0.000, 0.000], [0.934, 0.500, 0.500], [0.066, 0.500, 0.500], [0.434, 0.000, 0.500], [0.566, 0.000, 0.500], [0.434, 0.500, 0.000], [0.566, 0.500, 0.000], [0.318, 0.000, 0.000], [0.682, 0.000, 0.000], [0.318, 0.500, 0.500], [0.682, 0.500, 0.500], [0.818, 0.000, 0.500], [0.182, 0.000, 0.500], [0.818, 0.500, 0.000], [0.182, 0.500, 0.000], [0.000, 0.250, 0.250], [0.000, 0.750, 0.750], [0.000, 0.250, 0.750], [0.000, 0.750, 0.250], [0.500, 0.250, 0.750], [0.500, 0.750, 0.250], [0.500, 0.250, 0.250], [0.500, 0.750, 0.750]]
}

{
  "formula": "K2MgBe2O4",
  "functional": "PBE-GGA",
  "state": "optimized geometry",
  "final_energy_ev_per_atom": -5.633,
  "m_tot_mub_per_fu": 0.000,
  "e_form_raw_ev_per_atom": -2.180,
  "dos_ef_per_ev_cell": 0.000,
  "space_group": "No. 12",
  "lattice_angstrom": [[3.029, 0.000, 0.000], [0.000, 6.133, 0.294], [-1.515, -2.154, 5.537]],
  "species": ["K", "K", "Mg", "Be", "Be", "O", "O", "O", "O"],
  "fractional_positions": [[0.128, 0.528, 0.256], [0.872, 0.472, 0.744], [0.000, 0.000, 0.000], [0.675, 0.974, 0.350], [0.325, 0.026, 0.650], [0.206, 0.125, 0.412], [0.794, 0.875, 0.588], [0.542, 0.808, 0.084], [0.458, 0.192, 0.916]]
}

{
  "formula": "KRbMg2Be",
  "functional": "PBE-GGA",
  "state": "optimized geometry",
  "final_energy_ev_per_atom": -0.690,
  "m_tot_mub_per_fu": 0.000,
  "dos_ef_per_ev_cell": 4.075,
  "space_group": "No. 123",
  "lattice_angstrom": [[-0.011, -5.097, 4.312], [-3.152, -3.412, -4.042], [5.736, -2.214, -2.603]],
  "species": ["Be", "K", "Mg", "Mg", "Rb"],
  "fractional_positions": [[0.000, 0.500, 0.000], [0.500, 0.500, 0.500], [0.000, 0.000, 0.500], [0.500, 0.000, 0.000], [0.000, 0.000, 0.000]]
}

{
  "formula": "K2MgBeRe",
  "functional": "PBE-GGA",
  "state": "optimized geometry",
  "final_energy_ev_per_atom": -2.206,
  "m_tot_mub_per_fu": 2.610,
  "dos_ef_per_ev_cell": 4.499,
  "space_group": "No. 123",
  "lattice_angstrom": [[6.400, 0.000, 0.000], [0.000, 5.245, 0.000], [0.000, 0.000, 6.400]],
  "species": ["Re", "K", "K", "Mg", "Be"],
  "fractional_positions": [[0.000, 0.000, 0.000], [0.000, 0.000, 0.500], [0.500, 0.000, 0.000], [0.000, 0.500, 0.000], [0.500, 0.500, 0.500]]
}

{
  "formula": "KMgBe2Se",
  "functional": "PBE-GGA",
  "state": "optimized geometry",
  "final_energy_ev_per_atom": -2.139,
  "m_tot_mub_per_fu": 0.000,
  "e_form_raw_ev_per_atom": 0.587,
  "dos_ef_per_ev_cell": 2.845,
  "space_group": "No. 123",
  "lattice_angstrom": [[4.937, 0.000, 0.000], [0.000, 5.281, 0.000], [0.000, 0.000, 4.937]],
  "species": ["Be", "Be", "K", "Mg", "Se"],
  "fractional_positions": [[0.000, 0.000, 0.500], [0.500, 0.000, 0.000], [0.500, 0.500, 0.500], [0.000, 0.000, 0.000], [0.000, 0.500, 0.000]]
}